DFT (PBE) results for an optimized crystal structure of Li2Tb2PaTe6.

Calculated values
Density of states at the Fermi level ... 3.81 states/eV/cell
Formation energy (no corrections) ... -1150 meV per atom
M_tot ... 0.090 μB per atom

a = 7.531 Å, b = 7.531 Å, c = 7.524 Å
α = 99.68°, β = 99.68°, γ = 119.71°
Positions (direct):
1 Li 0.168 0.832 0.000
2 Li 0.832 0.168 0.000
3 Tb 0.334 0.666 0.500
4 Tb 0.666 0.334 0.500
5 Pa 0.000 0.000 0.500
6 Te 0.084 0.416 0.755
7 Te 0.245 0.245 0.246
8 Te 0.416 0.084 0.755
9 Te 0.584 0.916 0.245
10 Te 0.755 0.755 0.754
11 Te 0.916 0.584 0.245

=====

DFT (PBE) results for an optimized crystal structure of Li4Tb3PaTe8.

Calculated values
Density of states at the Fermi level ... 9.60 states/eV/cell
Formation energy (no corrections) ... -1169 meV per atom
M_tot ... 0.107 μB per atom

a = 8.688 Å, b = 8.688 Å, c = 8.688 Å
α = 59.78°, β = 59.78°, γ = 59.78°
Positions (direct):
1 Li 0.000 0.000 0.000
2 Li 0.000 0.500 0.500
3 Li 0.500 0.000 0.500
4 Li 0.500 0.500 0.000
5 Tb 0.000 0.000 0.500
6 Tb 0.000 0.500 0.000
7 Tb 0.500 0.000 0.000
8 Pa 0.500 0.500 0.500
9 Te 0.247 0.247 0.747
10 Te 0.247 0.747 0.247
11 Te 0.253 0.253 0.253
12 Te 0.253 0.753 0.753
13 Te 0.747 0.247 0.247
14 Te 0.747 0.747 0.747
15 Te 0.753 0.253 0.753
16 Te 0.753 0.753 0.253

=====

DFT (PBE) results for an optimized crystal structure of Li2TbPaTe4.

Calculated values
Density of states at the Fermi level ... 7.19 states/eV/cell
Formation energy (no corrections) ... -1053 meV per atom
M_tot ... 0.228 μB per atom

a = 7.483 Å, b = 4.266 Å, c = 7.583 Å
α = 90.00°, β = 108.84°, γ = 90.00°
Positions (direct):
1 Li 0.000 0.000 0.000
2 Li 0.500 0.500 0.000
3 Tb 0.000 0.500 0.500
4 Pa 0.500 0.000 0.500
5 Te 0.244 0.500 0.237
6 Te 0.253 0.000 0.760
7 Te 0.747 0.000 0.240
8 Te 0.756 0.500 0.763

=====

DFT (PBE) results for an optimized crystal structure of LiThPaTc.

Calculated values
Density of states at the Fermi level ... 6.22 states/eV/cell
M_tot ... 0.000 μB per atom
Calculated formation energy ... 118 meV per atom

a = 4.990 Å, b = 4.990 Å, c = 4.990 Å
α = 60.00°, β = 60.00°, γ = 60.00°
Positions (direct):
1 Li 0.000 0.000 0.000
2 Th 0.250 0.250 0.250
3 Pa 0.750 0.750 0.750
4 Tc 0.500 0.500 0.500

=====

DFT (PBE) results for an optimized crystal structure of LiPaTiTc.

Calculated values
Density of states at the Fermi level ... 6.68 states/eV/cell
M_tot ... 0.006 μB per atom
Calculated formation energy ... 40 meV per atom

a = 4.645 Å, b = 4.645 Å, c = 4.645 Å
α = 60.00°, β = 60.00°, γ = 60.00°
Positions (direct):
1 Li 0.000 0.000 0.000
2 Pa 0.750 0.750 0.750
3 Ti 0.250 0.250 0.250
4 Tc 0.500 0.500 0.500

=====

DFT (PBE) results for an optimized crystal structure of LiYPaTc.

Calculated values
Density of states at the Fermi level ... 6.30 states/eV/cell
M_tot ... 0.000 μB per atom
Calculated formation energy ... 67 meV per atom

a = 4.916 Å, b = 4.916 Å, c = 4.916 Å
α = 60.00°, β = 60.00°, γ = 60.00°
Positions (direct):
1 Li 0.000 0.000 0.000
2 Y 0.750 0.750 0.750
3 Pa 0.250 0.250 0.250
4 Tc 0.500 0.500 0.500

=====

DFT (PBE) results for an optimized crystal structure of LiZrPaTc.

Calculated values
Density of states at the Fermi level ... 6.17 states/eV/cell
M_tot ... 0.000 μB per atom
Calculated formation energy ... 13 meV per atom

a = 4.783 Å, b = 4.783 Å, c = 4.783 Å
α = 60.00°, β = 60.00°, γ = 60.00°
Positions (direct):
1 Li 0.000 0.000 0.000
2 Zr 0.250 0.250 0.250
3 Pa 0.750 0.750 0.750
4 Tc 0.500 0.500 0.500

=====

DFT (PBE) results for an optimized crystal structure of Li5Pa3Te12.

Calculated values
Density of states at the Fermi level ... 61.95 states/eV/cell
Formation energy (no corrections) ... -641 meV per atom
M_tot ... 0.000 μB per atom

a = 14.734 Å, b = 14.734 Å, c = 14.734 Å
α = 109.47°, β = 109.47°, γ = 109.47°
Positions (direct):
1 Li 0.000 0.000 0.000
2 Li 0.000 0.000 0.500
3 Li 0.000 0.500 0.000
4 Li 0.000 0.500 0.500
5 Li 0.125 0.750 0.875
6 Li 0.125 0.875 0.250
7 Li 0.250 0.125 0.875
8 Li 0.250 0.625 0.375
9 Li 0.375 0.250 0.625
10 Li 0.375 0.625 0.750
11 Li 0.500 0.000 0.000
12 Li 0.500 0.000 0.500
13 Li 0.500 0.500 0.000
14 Li 0.500 0.500 0.500
15 Li 0.625 0.375 0.250
16 Li 0.625 0.750 0.375
17 Li 0.750 0.375 0.625
18 Li 0.750 0.875 0.125
19 Li 0.875 0.125 0.750
20 Li 0.875 0.250 0.125
21 Pa 0.125 0.250 0.375
22 Pa 0.125 0.375 0.750
23 Pa 0.250 0.375 0.125
24 Pa 0.250 0.875 0.625
25 Pa 0.375 0.125 0.250
26 Pa 0.375 0.750 0.125
27 Pa 0.625 0.250 0.875
28 Pa 0.625 0.875 0.750
29 Pa 0.750 0.125 0.375
30 Pa 0.750 0.625 0.875
31 Pa 0.875 0.625 0.250
32 Pa 0.875 0.750 0.625
33 Te 0.049 0.227 0.134
34 Te 0.049 0.322 0.914
35 Te 0.086 0.634 0.408
36 Te 0.086 0.951 0.678
37 Te 0.092 0.727 0.678
38 Te 0.092 0.866 0.414
39 Te 0.134 0.049 0.227
40 Te 0.134 0.586 0.908
41 Te 0.178 0.227 0.592
42 Te 0.178 0.451 0.586
43 Te 0.227 0.134 0.049
44 Te 0.227 0.592 0.178
45 Te 0.273 0.322 0.908
46 Te 0.273 0.451 0.366
47 Te 0.322 0.908 0.273
48 Te 0.322 0.914 0.049
49 Te 0.366 0.273 0.451
50 Te 0.366 0.592 0.914
51 Te 0.408 0.086 0.634
52 Te 0.408 0.822 0.773
53 Te 0.414 0.092 0.866
54 Te 0.414 0.822 0.549
55 Te 0.451 0.366 0.273
56 Te 0.451 0.586 0.178
57 Te 0.549 0.414 0.822
58 Te 0.549 0.634 0.727
59 Te 0.586 0.178 0.451
60 Te 0.586 0.908 0.134
61 Te 0.592 0.178 0.227
62 Te 0.592 0.914 0.366
63 Te 0.634 0.408 0.086
64 Te 0.634 0.727 0.549
65 Te 0.678 0.086 0.951
66 Te 0.678 0.092 0.727
67 Te 0.727 0.549 0.634
68 Te 0.727 0.678 0.092
69 Te 0.773 0.408 0.822
70 Te 0.773 0.866 0.951
71 Te 0.822 0.549 0.414
72 Te 0.822 0.773 0.408
73 Te 0.866 0.414 0.092
74 Te 0.866 0.951 0.773
75 Te 0.908 0.134 0.586
76 Te 0.908 0.273 0.322
77 Te 0.914 0.049 0.322
78 Te 0.914 0.366 0.592
79 Te 0.951 0.678 0.086
80 Te 0.951 0.773 0.866

=====

What are the uncorrected energy values for these records? In order: -54.1, -74.9, -38.9, -28.7, -29.5, -28.0, -30.3, -354.3 eV/cell.